1.
# P3Ir, optimized geometry, DFT PBE-GGA
data_P3Ir
_chemical_formula_sum 'P6 Ir2'
_space_group_name_H-M_alt 'C 1 m 1'
_space_group_IT_number 8
_space_group_name_Hall 'C -2y'
_cell_length_a 5.2420
_cell_length_b 4.6720
_cell_length_c 5.1804
_cell_angle_alpha 90.00
_cell_angle_beta 90.48
_cell_angle_gamma 90.00
loop_
_atom_site_label
_atom_site_type_symbol
_atom_site_fract_x
_atom_site_fract_y
_atom_site_fract_z
_atom_site_occupancy
P1 P 0.0000 0.0000 0.0000 1
P2 P 0.0377 0.0000 0.4216 1
P3 P 0.1080 0.5000 0.4780 1
Ir1 Ir 0.0711 0.5000 0.9355 1
# - Energy relative to the lowest polymorph listed for this composition: 584 meV/atom
# - Fermi-level density of states: 1.271 states/eV/f.u.

***

2.
# P2Ir, optimized geometry, DFT PBE-GGA
data_P2Ir
_chemical_formula_sum 'P4 Ir2'
_space_group_name_H-M_alt 'P 63/m m c'
_space_group_IT_number 194
_space_group_name_Hall '-P 6c 2c'
_cell_length_a 4.3090
_cell_length_b 4.3090
_cell_length_c 5.2604
_cell_angle_alpha 90.00
_cell_angle_beta 90.00
_cell_angle_gamma 120.00
loop_
_atom_site_label
_atom_site_type_symbol
_atom_site_fract_x
_atom_site_fract_y
_atom_site_fract_z
_atom_site_occupancy
P1 P 0.0000 0.0000 0.0000 1
P2 P 0.3333 0.6667 0.2500 1
Ir1 Ir 0.3333 0.6667 0.7500 1
# - Fermi-level density of states: 0.985 states/eV/f.u.

***

Q: Which ΔH_f (0 K) values were calculated for the entries above? A: -0.0596; 0.3312, in eV per atom.
Q: Which M_tot values were calculated for the entries above? A: 0.0; 0.0, in μB per cell.